# 1
{
  "formula": "CsNa2Bi",
  "functional": "PBE",
  "state": "relaxed",
  "spacegroup": "No. 166",
  "volume_a3_per_atom": 42.7,
  "total_energy_ev_per_cell": -8.80,
  "ef_ev_per_atom": -0.357,
  "lattice": [[-2.335, 3.347, 3.698], [-0.286, -1.511, 5.288], [4.888, 3.405, 4.105]],
  "species": ["Cs", "Na", "Na", "Bi"],
  "fractional_positions": [[0.500, 0.500, 0.500], [0.301, 0.301, 0.096], [0.699, 0.699, 0.904], [0.000, 0.000, 0.000]]
}

# 2
{
  "formula": "Cs2NaBi",
  "functional": "PBE",
  "state": "relaxed",
  "spacegroup": "No. 63",
  "volume_a3_per_atom": 52.1,
  "total_energy_ev_per_cell": -16.75,
  "ef_ev_per_atom": -0.367,
  "lattice": [[7.070, 0.000, 0.000], [0.000, 7.549, -1.753], [0.000, 0.265, 7.746]],
  "species": ["Na", "Na", "Cs", "Cs", "Cs", "Cs", "Bi", "Bi"],
  "fractional_positions": [[0.000, 0.500, 0.500], [0.500, 0.500, 0.500], [0.250, 0.034, 0.695], [0.750, 0.305, 0.966], [0.750, 0.966, 0.305], [0.250, 0.695, 0.034], [0.750, 0.763, 0.763], [0.250, 0.237, 0.237]]
}

# 3
{
  "formula": "CsNa4Bi5",
  "functional": "PBE",
  "state": "relaxed",
  "spacegroup": "No. 123",
  "volume_a3_per_atom": 31.3,
  "total_energy_ev_per_cell": -28.28,
  "ef_ev_per_atom": -0.275,
  "lattice": [[3.470, 0.000, 0.000], [0.000, 3.470, 0.000], [0.000, 0.000, 26.008]],
  "species": ["Na", "Na", "Na", "Na", "Cs", "Bi", "Bi", "Bi", "Bi", "Bi"],
  "fractional_positions": [[0.000, 0.000, 0.215], [0.000, 0.000, 0.406], [0.000, 0.000, 0.594], [0.000, 0.000, 0.785], [0.000, 0.000, 0.000], [0.500, 0.500, 0.312], [0.500, 0.500, 0.500], [0.500, 0.500, 0.688], [0.500, 0.500, 0.878], [0.500, 0.500, 0.122]]
}

# 4
{
  "formula": "Cs3Na5Bi2",
  "functional": "PBE",
  "state": "relaxed",
  "spacegroup": "No. 72",
  "volume_a3_per_atom": 51.0,
  "total_energy_ev_per_cell": -37.53,
  "ef_ev_per_atom": -0.185,
  "lattice": [[-1.066, -3.455, 7.485], [-8.236, -8.681, -0.565], [5.466, -10.649, 0.479]],
  "species": ["Na", "Na", "Na", "Na", "Na", "Na", "Na", "Na", "Na", "Na", "Bi", "Bi", "Bi", "Bi", "Cs", "Cs", "Cs", "Cs", "Cs", "Cs"],
  "fractional_positions": [[0.982, 0.768, 0.768], [0.880, 0.472, 0.769], [0.018, 0.232, 0.232], [0.250, 0.500, 0.500], [0.482, 0.768, 0.768], [0.620, 0.231, 0.528], [0.518, 0.232, 0.232], [0.750, 0.500, 0.500], [0.380, 0.769, 0.472], [0.120, 0.528, 0.231], [0.657, 0.981, 0.704], [0.157, 0.704, 0.981], [0.843, 0.296, 0.019], [0.343, 0.019, 0.296], [0.750, 0.000, 0.000], [0.141, 0.101, 0.616], [0.859, 0.899, 0.384], [0.359, 0.384, 0.899], [0.641, 0.616, 0.101], [0.250, 0.000, 0.000]]
}

# 5
{
  "formula": "Cs2Na9Bi6",
  "functional": "PBE",
  "state": "relaxed",
  "spacegroup": "No. 191",
  "volume_a3_per_atom": 39.8,
  "total_energy_ev_per_cell": -40.07,
  "ef_ev_per_atom": -0.189,
  "lattice": [[7.070, 0.000, 0.000], [-3.535, 6.123, 0.000], [0.000, 0.000, 15.623]],
  "species": ["Na", "Na", "Na", "Na", "Na", "Na", "Na", "Na", "Na", "Bi", "Bi", "Bi", "Bi", "Bi", "Bi", "Cs", "Cs"],
  "fractional_positions": [[0.500, 0.500, 0.838], [0.500, 0.000, 0.500], [0.500, 0.000, 0.162], [0.000, 0.500, 0.838], [0.000, 0.500, 0.162], [0.500, 0.000, 0.838], [0.500, 0.500, 0.500], [0.500, 0.500, 0.162], [0.000, 0.500, 0.500], [0.333, 0.667, 0.668], [0.333, 0.667, 0.000], [0.667, 0.333, 0.332], [0.667, 0.333, 0.000], [0.667, 0.333, 0.668], [0.333, 0.667, 0.332], [0.000, 0.000, 0.678], [0.000, 0.000, 0.322]]
}

# 6
{
  "formula": "CsNa3Bi",
  "functional": "PBE",
  "state": "relaxed",
  "spacegroup": "No. 221",
  "relative_energy_mev_per_atom": 844,
  "volume_a3_per_atom": 46.2,
  "total_energy_ev_per_cell": -5.66,
  "ef_ev_per_atom": 0.607,
  "lattice": [[6.136, 0.000, 0.000], [0.000, 6.136, 0.000], [0.000, 0.000, 6.136]],
  "species": ["Bi", "Cs", "Na", "Na", "Na"],
  "fractional_positions": [[0.500, 0.500, 0.500], [0.000, 0.000, 0.000], [0.000, 0.000, 0.500], [0.000, 0.500, 0.000], [0.500, 0.000, 0.000]]
}

# 7
{
  "formula": "CsNa3Bi",
  "functional": "PBE",
  "state": "relaxed",
  "spacegroup": "No. 74",
  "relative_energy_mev_per_atom": 0,
  "volume_a3_per_atom": 46.3,
  "total_energy_ev_per_cell": -19.75,
  "ef_ev_per_atom": -0.237,
  "lattice": [[6.967, 0.000, -3.852], [-2.574, 7.800, -4.656], [0.268, -0.427, 8.711]],
  "species": ["Cs", "Cs", "Na", "Na", "Na", "Na", "Na", "Na", "Bi", "Bi"],
  "fractional_positions": [[0.750, 0.639, 0.500], [0.250, 0.361, 0.500], [0.750, 0.172, 0.500], [0.804, 0.804, 0.107], [0.196, 0.196, 0.893], [0.250, 0.828, 0.500], [0.696, 0.196, 0.893], [0.304, 0.804, 0.107], [0.000, 0.500, 0.000], [0.500, 0.000, 0.000]]
}

# 8
{
  "formula": "CsNa12Bi4",
  "functional": "PBE",
  "state": "relaxed",
  "spacegroup": "No. 204",
  "volume_a3_per_atom": 54.0,
  "total_energy_ev_per_cell": -35.81,
  "ef_ev_per_atom": -0.212,
  "lattice": [[-0.373, 10.374, 2.150], [-6.520, -5.202, 6.544], [9.906, -3.532, 1.337]],
  "species": ["Na", "Na", "Na", "Na", "Na", "Na", "Na", "Na", "Na", "Na", "Na", "Na", "Bi", "Bi", "Bi", "Bi", "Cs"],
  "fractional_positions": [[0.729, 0.476, 0.747], [0.018, 0.747, 0.271], [0.524, 0.253, 0.271], [0.253, 0.729, 0.982], [0.982, 0.253, 0.729], [0.747, 0.729, 0.476], [0.476, 0.747, 0.729], [0.747, 0.271, 0.018], [0.271, 0.018, 0.747], [0.253, 0.271, 0.524], [0.271, 0.524, 0.253], [0.729, 0.982, 0.253], [0.500, 0.500, 0.500], [0.500, 0.000, 0.000], [0.000, 0.500, 0.000], [0.000, 0.000, 0.500], [0.000, 0.000, 0.000]]
}

# 9
{
  "formula": "CsNa2Bi",
  "functional": "PBE",
  "state": "relaxed",
  "spacegroup": "No. 160",
  "volume_a3_per_atom": 46.5,
  "total_energy_ev_per_cell": -8.78,
  "ef_ev_per_atom": -0.353,
  "lattice": [[-0.305, -0.999, -5.458], [-2.688, -4.496, -1.856], [-6.897, 1.836, -2.779]],
  "species": ["Na", "Na", "Cs", "Bi"],
  "fractional_positions": [[0.016, 0.016, 0.953], [0.310, 0.310, 0.071], [0.489, 0.489, 0.533], [0.686, 0.686, 0.943]]
}

# 10
{
  "formula": "CsNa3Bi",
  "functional": "PBE",
  "state": "relaxed",
  "spacegroup": "No. 221",
  "relative_energy_mev_per_atom": 25,
  "volume_a3_per_atom": 48.8,
  "total_energy_ev_per_cell": -9.75,
  "ef_ev_per_atom": -0.212,
  "lattice": [[6.250, 0.000, 0.000], [0.000, 6.250, 0.000], [0.000, 0.000, 6.250]],
  "species": ["Na", "Na", "Na", "Cs", "Bi"],
  "fractional_positions": [[0.000, 0.000, 0.500], [0.500, 0.000, 0.000], [0.000, 0.500, 0.000], [0.500, 0.500, 0.500], [0.000, 0.000, 0.000]]
}

# 11
{
  "formula": "Cs2Na4Bi",
  "functional": "PBE",
  "state": "relaxed",
  "spacegroup": "No. 139",
  "volume_a3_per_atom": 59.9,
  "total_energy_ev_per_cell": -11.60,
  "ef_ev_per_atom": -0.104,
  "lattice": [[-3.418, -1.788, 4.852], [4.552, -3.800, 1.806], [3.753, 10.821, 2.671]],
  "species": ["Na", "Na", "Na", "Na", "Cs", "Cs", "Bi"],
  "fractional_positions": [[0.500, 0.000, 0.000], [0.857, 0.857, 0.714], [0.000, 0.500, 0.000], [0.143, 0.143, 0.286], [0.343, 0.343, 0.685], [0.657, 0.657, 0.315], [0.000, 0.000, 0.000]]
}

# 12
{
  "formula": "CsNaBi3",
  "functional": "PBE",
  "state": "relaxed",
  "spacegroup": "No. 221",
  "relative_energy_mev_per_atom": 0,
  "volume_a3_per_atom": 39.1,
  "total_energy_ev_per_cell": -12.84,
  "ef_ev_per_atom": 0.196,
  "lattice": [[5.805, 0.000, 0.000], [0.000, 5.805, 0.000], [0.000, 0.000, 5.805]],
  "species": ["Bi", "Bi", "Bi", "Na", "Cs"],
  "fractional_positions": [[0.000, 0.500, 0.000], [0.000, 0.000, 0.500], [0.500, 0.000, 0.000], [0.000, 0.000, 0.000], [0.500, 0.500, 0.500]]
}

# 13
{
  "formula": "CsNa2Bi4",
  "functional": "PBE",
  "state": "relaxed",
  "spacegroup": "No. 139",
  "volume_a3_per_atom": 37.2,
  "total_energy_ev_per_cell": -20.42,
  "ef_ev_per_atom": -0.200,
  "lattice": [[-6.737, -2.173, -0.956], [-1.629, -6.818, 0.294], [-4.371, -0.591, 5.457]],
  "species": ["Bi", "Bi", "Bi", "Bi", "Cs", "Na", "Na"],
  "fractional_positions": [[0.318, 0.000, 0.365], [0.682, 0.635, 0.000], [0.682, 0.000, 0.635], [0.318, 0.365, 0.000], [0.000, 0.000, 0.000], [0.250, 0.500, 0.500], [0.750, 0.500, 0.500]]
}